Compound: Rb3SrGe
Source: Alexandria via LeMat-Bulk
Functional: GGA-PBE
Structure: optimized geometry

distance to the lowest polymorph of the same formula: 0.572 eV per atom
DOS(E_F): 3.02 states/eV/f.u.
symmetry: Pm-3m, No. 221
M_tot: 1.06 μB per formula unit

a = 8.113 Å, b = 8.113 Å, c = 8.113 Å
α = 90.00°, β = 90.00°, γ = 90.00°
Positions (direct):
Sr1 0.000 0.000 0.000
Ge1 0.500 0.500 0.500
Rb1 0.000 0.500 0.000
Rb2 0.000 0.000 0.500
Rb3 0.500 0.000 0.000



Compound: RbSrGe3
Source: Alexandria via LeMat-Bulk
Functional: GGA-PBE
Structure: optimized geometry

distance to the lowest polymorph of the same formula: 0.326 eV per atom
DOS(E_F): 5.20 states/eV/f.u.
symmetry: Pm-3m, No. 221
M_tot: 0.00 μB per formula unit

a = 5.665 Å, b = 5.665 Å, c = 5.665 Å
α = 90.00°, β = 90.00°, γ = 90.00°
Positions (direct):
Sr1 0.500 0.500 0.500
Ge1 0.000 0.500 0.000
Ge2 0.000 0.000 0.500
Ge3 0.500 0.000 0.000
Rb1 0.000 0.000 0.000



Compound: RbSrGe4
Source: Alexandria via LeMat-Bulk
Functional: GGA-PBE
Structure: optimized geometry

DOS(E_F): 8.43 states/eV/f.u.
total DFT energy (no corrections): -3.64 eV/atom
symmetry: F-43m, No. 216
M_tot: 0.00 μB per formula unit

a = 6.077 Å, b = 6.077 Å, c = 6.077 Å
α = 60.00°, β = 60.00°, γ = 60.00°
Positions (direct):
Sr1 0.000 0.000 0.000
Ge1 0.638 0.638 0.086
Ge2 0.638 0.086 0.638
Ge3 0.638 0.638 0.638
Ge4 0.086 0.638 0.638
Rb1 0.250 0.250 0.250